This record from Alexandria describes a relaxed TlCd2Pb crystal. The functional is GGA-PBEsol.

Summary:
calculated density	10.52	g cm⁻³
total magnetic moment	0.00	μB/f.u.
E_form	65	meV/atom

Lattice parameters (Å, degrees): 3.332 4.448 6.780 90.00 90.00 90.00
Atoms (fractional coordinates):
Tl  0.000  0.000  0.000
Cd  0.000  0.000  0.464
Cd  0.500  0.500  0.248
Pb  0.500  0.500  0.722

=====

This record from Alexandria describes a relaxed TlCd2Pb crystal. The functional is GGA-PBEsol.

Summary:
calculated density	10.38	g cm⁻³
total magnetic moment	0.00	μB/f.u.
E_form	55	meV/atom

Lattice parameters (Å, degrees): 3.349 5.133 6.128 90.00 104.89 90.00
Atoms (fractional coordinates):
Tl  0.000  0.000  0.000
Cd  0.596  0.500  0.186
Cd  0.727  0.000  0.476
Pb  0.320  0.500  0.660

=====

This record from Alexandria describes a relaxed TlCd2Pb crystal. The functional is GGA-PBEsol.

Summary:
calculated density	10.46	g cm⁻³
total magnetic moment	0.00	μB/f.u.
E_form	62	meV/atom

Lattice parameters (Å, degrees): 11.359 3.346 5.540 90.00 106.39 90.00
Atoms (fractional coordinates):
Tl  0.000  0.000  0.000
Tl  0.500  0.500  0.000
Cd  0.255  0.500  0.201
Cd  0.472  0.000  0.486
Cd  0.755  0.000  0.201
Cd  0.972  0.500  0.486
Pb  0.225  0.000  0.685
Pb  0.725  0.500  0.685

=====

This record from Alexandria describes a relaxed Tl2CdPb crystal. The functional is GGA-PBEsol.

Summary:
calculated density	11.22	g cm⁻³
total magnetic moment	0.00	μB/f.u.
E_form	46	meV/atom

Lattice parameters (Å, degrees): 3.589 5.543 10.836 90.00 90.00 90.00
Atoms (fractional coordinates):
Tl  0.000  0.000  0.235
Tl  0.000  0.000  0.765
Tl  0.500  0.500  0.265
Tl  0.500  0.500  0.735
Cd  0.000  0.500  0.500
Cd  0.500  0.000  0.000
Pb  0.000  0.500  0.000
Pb  0.500  0.000  0.500

=====

This record from Alexandria describes a relaxed Cd3PbW crystal. The functional is GGA-PBEsol.

Summary:
calculated density	8.63	g cm⁻³
total magnetic moment	0.00	μB/f.u.
E_form	1152	meV/atom

Lattice parameters (Å, degrees): 5.195 5.195 5.195 90.00 90.00 90.00
Atoms (fractional coordinates):
Cd  0.000  0.000  0.500
Cd  0.000  0.500  0.000
Cd  0.500  0.000  0.000
Pb  0.500  0.500  0.500
W  0.000  0.000  0.000

=====

This record from Alexandria describes a relaxed CdPbW2 crystal. The functional is GGA-PBEsol.

Summary:
calculated density	15.45	g cm⁻³
total magnetic moment	0.00	μB/f.u.
E_form	1111	meV/atom
excess energy over the best structure of this formula in the dataset	564	meV/atom

Lattice parameters (Å, degrees): 5.680 9.158 2.841 90.00 90.00 90.00
Atoms (fractional coordinates):
Cd  0.000  0.000  0.000
Cd  0.500  0.500  0.000
Pb  0.000  0.500  0.000
Pb  0.500  0.000  0.000
W  0.250  0.250  0.500
W  0.250  0.750  0.500
W  0.750  0.250  0.500
W  0.750  0.750  0.500

=====

This record from Alexandria describes a relaxed CdPbW2 crystal. The functional is GGA-PBEsol.

Summary:
calculated density	13.91	g cm⁻³
total magnetic moment	0.00	μB/f.u.
E_form	547	meV/atom
excess energy over the best structure of this formula in the dataset	0	meV/atom

Lattice parameters (Å, degrees): 3.157 3.157 28.520 90.00 90.00 120.00
Atoms (fractional coordinates):
Cd  0.000  0.000  0.000
Cd  0.333  0.667  0.667
Cd  0.667  0.333  0.333
Pb  0.000  0.000  0.765
Pb  0.333  0.667  0.432
Pb  0.667  0.333  0.099
W  0.000  0.000  0.250
W  0.000  0.000  0.523
W  0.333  0.667  0.189
W  0.333  0.667  0.916
W  0.667  0.333  0.583
W  0.667  0.333  0.856

=====

This record from Alexandria describes a relaxed CdPbW2 crystal. The functional is GGA-PBEsol.

Summary:
calculated density	15.49	g cm⁻³
total magnetic moment	0.00	μB/f.u.
E_form	977	meV/atom
excess energy over the best structure of this formula in the dataset	430	meV/atom

Lattice parameters (Å, degrees): 5.756 9.604 2.895 90.00 113.00 90.00
Atoms (fractional coordinates):
Cd  0.000  0.000  0.000
Cd  0.500  0.500  0.000
Pb  0.000  0.500  0.000
Pb  0.500  0.000  0.000
W  0.250  0.250  0.500
W  0.250  0.750  0.500
W  0.750  0.250  0.500
W  0.750  0.750  0.500

=====

This record from Alexandria describes a relaxed CdPbW3 crystal. The functional is GGA-PBEsol.

Summary:
calculated density	11.95	g cm⁻³
total magnetic moment	0.00	μB/f.u.
E_form	3165	meV/atom

Lattice parameters (Å, degrees): 4.946 4.946 4.946 90.00 90.00 90.00
Atoms (fractional coordinates):
Cd  0.000  0.000  0.000
Pb  0.500  0.500  0.500
W  0.000  0.500  0.500
W  0.500  0.000  0.500
W  0.500  0.500  0.000

=====

This record from Alexandria describes a relaxed CdPb3W crystal. The functional is GGA-PBEsol.

Summary:
calculated density	9.53	g cm⁻³
total magnetic moment	4.12	μB/f.u.
E_form	1695	meV/atom

Lattice parameters (Å, degrees): 5.428 5.428 5.428 90.00 90.00 90.00
Atoms (fractional coordinates):
Cd  0.000  0.000  0.000
Pb  0.000  0.000  0.500
Pb  0.000  0.500  0.000
Pb  0.500  0.000  0.000
W  0.500  0.500  0.500

=====

This record from Alexandria describes a relaxed YCdPb crystal. The functional is GGA-PBEsol.

Summary:
calculated density	8.96	g cm⁻³
total magnetic moment	0.00	μB/f.u.
E_form	-345	meV/atom

Lattice parameters (Å, degrees): 4.885 4.885 3.664 90.00 90.00 120.00
Atoms (fractional coordinates):
Y  0.000  0.000  0.000
Cd  0.333  0.667  0.616
Pb  0.667  0.333  0.405

=====

This record from Alexandria describes a relaxed Y2CdPb crystal. The functional is GGA-PBEsol.

Summary:
calculated density	8.07	g cm⁻³
total magnetic moment	0.00	μB/f.u.
E_form	-465	meV/atom

Lattice parameters (Å, degrees): 4.923 4.923 8.444 90.00 90.00 90.00
Atoms (fractional coordinates):
Y  0.000  0.500  0.250
Y  0.000  0.500  0.750
Y  0.500  0.000  0.250
Y  0.500  0.000  0.750
Cd  0.000  0.000  0.000
Cd  0.500  0.500  0.500
Pb  0.000  0.000  0.500
Pb  0.500  0.500  0.000

=====

This record from Alexandria describes a relaxed YCdPb crystal. The functional is GGA-PBEsol.

Summary:
calculated density	7.62	g cm⁻³
total magnetic moment	0.00	μB/f.u.
E_form	-69	meV/atom

Lattice parameters (Å, degrees): 7.087 7.087 7.087 90.00 90.00 90.00
Atoms (fractional coordinates):
Y  0.000  0.000  0.000
Y  0.000  0.500  0.500
Y  0.500  0.000  0.500
Y  0.500  0.500  0.000
Cd  0.250  0.250  0.750
Cd  0.250  0.750  0.250
Cd  0.750  0.250  0.250
Cd  0.750  0.750  0.750
Pb  0.250  0.250  0.250
Pb  0.250  0.750  0.750
Pb  0.750  0.250  0.750
Pb  0.750  0.750  0.250

=====

This record from Alexandria describes a relaxed YCdPb2 crystal. The functional is GGA-PBEsol.

Summary:
calculated density	9.89	g cm⁻³
total magnetic moment	0.00	μB/f.u.
E_form	-302	meV/atom

Lattice parameters (Å, degrees): 4.583 4.583 9.848 90.00 90.00 90.00
Atoms (fractional coordinates):
Y  0.000  0.000  0.000
Y  0.500  0.500  0.500
Cd  0.000  0.000  0.500
Cd  0.500  0.500  0.000
Pb  0.000  0.500  0.250
Pb  0.000  0.500  0.750
Pb  0.500  0.000  0.250
Pb  0.500  0.000  0.750

=====

This record from Alexandria describes a relaxed Y2CdPb crystal. The functional is GGA-PBEsol.

Summary:
calculated density	8.05	g cm⁻³
total magnetic moment	0.00	μB/f.u.
E_form	-471	meV/atom

Lattice parameters (Å, degrees): 4.973 4.973 4.151 90.00 90.00 90.00
Atoms (fractional coordinates):
Y  0.000  0.500  0.000
Y  0.500  0.000  0.000
Cd  0.000  0.000  0.500
Pb  0.500  0.500  0.500

=====

This record from Alexandria describes a relaxed YCdPb2 crystal. The functional is GGA-PBEsol.

Summary:
calculated density	10.04	g cm⁻³
total magnetic moment	0.00	μB/f.u.
E_form	-368	meV/atom

Lattice parameters (Å, degrees): 4.791 4.791 4.436 90.00 90.00 90.00
Atoms (fractional coordinates):
Y  0.000  0.000  0.000
Cd  0.500  0.500  0.000
Pb  0.000  0.500  0.500
Pb  0.500  0.000  0.500

=====

This record from Alexandria describes a relaxed YCdPb2 crystal. The functional is GGA-PBEsol.

Summary:
calculated density	9.58	g cm⁻³
total magnetic moment	0.00	μB/f.u.
E_form	-203	meV/atom

Lattice parameters (Å, degrees): 6.649 10.565 3.423 90.00 117.39 90.00
Atoms (fractional coordinates):
Y  0.000  0.000  0.000
Y  0.500  0.500  0.000
Cd  0.000  0.500  0.000
Cd  0.500  0.000  0.000
Pb  0.250  0.250  0.500
Pb  0.250  0.750  0.500
Pb  0.750  0.250  0.500
Pb  0.750  0.750  0.500

=====

This record from Alexandria describes a relaxed Y2CdPb crystal. The functional is GGA-PBEsol.

Summary:
calculated density	7.58	g cm⁻³
total magnetic moment	0.01	μB/f.u.
E_form	-262	meV/atom

Lattice parameters (Å, degrees): 3.695 4.624 6.381 90.00 90.00 90.00
Atoms (fractional coordinates):
Y  0.000  0.000  0.000
Y  0.500  0.500  0.304
Cd  0.000  0.000  0.494
Pb  0.500  0.500  0.792

=====

This record from Alexandria describes a relaxed Y2CdPb2 crystal. The functional is GGA-PBEsol.

Summary:
calculated density	8.81	g cm⁻³
total magnetic moment	0.00	μB/f.u.
E_form	-440	meV/atom

Lattice parameters (Å, degrees): 7.735 7.735 4.441 90.00 90.00 90.00
Atoms (fractional coordinates):
Y  0.173  0.327  0.000
Y  0.327  0.827  0.000
Y  0.673  0.173  0.000
Y  0.827  0.673  0.000
Cd  0.000  0.000  0.500
Cd  0.500  0.500  0.500
Pb  0.135  0.635  0.500
Pb  0.365  0.135  0.500
Pb  0.635  0.865  0.500
Pb  0.865  0.365  0.500

=====

This record from Alexandria describes a relaxed Y2CdPb crystal. The functional is GGA-PBEsol.

Summary:
calculated density	8.05	g cm⁻³
total magnetic moment	0.00	μB/f.u.
E_form	-477	meV/atom

Lattice parameters (Å, degrees): 3.498 4.204 6.978 90.00 90.00 90.00
Atoms (fractional coordinates):
Y  0.000  0.000  0.247
Y  0.000  0.000  0.753
Cd  0.500  0.500  0.000
Pb  0.500  0.500  0.500